# 1
A relaxed structure of Nd3GaRu, computed with PBE-GGA.

Cell lengths 9.402, 8.699, 5.898 Å; angles 77.59, 64.63, 37.78 degrees
Fractional positions:
Nd1 0.196 0.196 0.804
Nd2 0.207 0.586 0.414
Nd3 0.414 0.793 0.207
Nd4 0.586 0.207 0.793
Nd5 0.793 0.414 0.586
Nd6 0.804 0.804 0.196
Ga1 0.190 0.810 0.810
Ga2 0.810 0.190 0.190
Ru1 0.250 0.250 0.250
Ru2 0.750 0.750 0.750

Its space-group type is Fmmm, No. 69. The calculation puts the formation energy at -0.34 eV/atom. For the density of states at the Fermi level, the calculation gives 0.701 states/eV/atom. As for the energy: -5.662 eV per atom.

=====

# 2
A relaxed structure of Be2TlRu, computed with PBE-GGA.

Cell lengths 3.055, 3.055, 6.050 Å; angles 90.00, 90.00, 90.00 degrees
Fractional positions:
Be1 0.000 0.000 0.000
Be2 0.500 0.500 0.195
Tl1 0.500 0.500 0.687
Ru1 0.000 0.000 0.353

Its space-group type is P4mm, No. 99. The calculation puts the formation energy at 0.29 eV/atom. For the density of states at the Fermi level, the calculation gives 0.639 states/eV/atom. As for the energy: -4.482 eV per atom.

=====

# 3
A relaxed structure of HoCdPb2, computed with PBE-GGA.

Cell lengths 5.403, 5.403, 5.403 Å; angles 60.00, 60.00, 60.00 degrees
Fractional positions:
Ho1 0.000 0.000 0.000
Cd1 0.500 0.500 0.500
Pb1 0.250 0.250 0.250
Pb2 0.750 0.750 0.750

Its space-group type is Fm-3m, No. 225. The calculation puts the formation energy at -0.09 eV/atom. For the density of states at the Fermi level, the calculation gives 0.887 states/eV/atom. As for the energy: -3.314 eV per atom.

=====

# 4
A relaxed structure of CsNpAs2, computed with PBE-GGA.

Cell lengths 8.639, 8.639, 8.639 Å; angles 28.84, 28.84, 28.84 degrees
Fractional positions:
Cs1 0.000 0.000 0.000
Np1 0.500 0.500 0.500
As1 0.221 0.221 0.221
As2 0.779 0.779 0.779

Its space-group type is R-3m, No. 166. The calculation puts the formation energy at -0.41 eV/atom. For the density of states at the Fermi level, the calculation gives 1.808 states/eV/atom. As for the energy: -6.187 eV per atom.

=====

# 5
A relaxed structure of Ta2PdS6, computed with PBE-GGA.

Cell lengths 5.864, 5.864, 10.607 Å; angles 90.00, 90.00, 90.00 degrees
Fractional positions:
Ta1 0.000 0.000 0.155
Ta2 0.000 0.000 0.845
Ta3 0.500 0.500 0.345
Ta4 0.500 0.500 0.655
Pd1 0.000 0.000 0.500
Pd2 0.500 0.500 0.000
S1 0.197 0.197 0.329
S2 0.197 0.197 0.671
S3 0.205 0.205 0.000
S4 0.295 0.705 0.500
S5 0.303 0.697 0.171
S6 0.303 0.697 0.829
S7 0.697 0.303 0.171
S8 0.697 0.303 0.829
S9 0.705 0.295 0.500
S10 0.795 0.795 0.000
S11 0.803 0.803 0.329
S12 0.803 0.803 0.671

Its space-group type is P4_2/mnm, No. 136. The uncorrected formation energy comes out at -0.64 eV per atom. For the density of states at the Fermi level, the calculation gives 0.364 states/eV/atom. As for the energy: -6.604 eV per atom.

=====

# 6
A relaxed structure of Ta3Cl, computed with PBE-GGA.

Cell lengths 2.966, 2.966, 8.945 Å; angles 90.00, 90.00, 113.27 degrees
Fractional positions:
Ta1 0.000 0.000 0.000
Ta2 0.500 0.500 0.252
Ta3 0.500 0.500 0.748
Cl1 0.000 0.000 0.500

Its space-group type is Cmmm, No. 65. The uncorrected formation energy comes out at 0.09 eV per atom. For the density of states at the Fermi level, the calculation gives 0.869 states/eV/atom. As for the energy: -9.262 eV per atom.

=====

# 7
A relaxed structure of LiFeMo, computed with PBE-GGA.

Cell lengths 4.933, 4.933, 4.933 Å; angles 144.76, 144.76, 50.69 degrees
Fractional positions:
Li1 0.000 0.000 0.000
Fe1 0.331 0.331 0.000
Mo1 0.695 0.695 0.000

Its space-group type is I4mm, No. 107. The calculation puts the formation energy at 0.39 eV/atom. For the density of states at the Fermi level, the calculation gives 0.954 states/eV/atom. As for the energy: -6.682 eV per atom.

=====

Question: What is the energy in the fifth record?
Answer: -6.604 eV per atom